(1)
Computed, not measured: a relaxed Tb6Hg3Ru crystal at the PBE level of DFT.

The structure in POSCAR format:
```
Tb6Hg3Ru
1.0
9.0776 0.0000 0.0000
0.0000 5.2984 0.0000
-3.5192 0.0000 10.8099
Tb Hg Ru
12 6 2
direct
0.0278 0.2500 0.4104
0.1830 0.7500 0.1638
0.2757 0.2500 0.9988
0.3506 0.7500 0.8369
0.3809 0.2500 0.3485
0.3864 0.2500 0.6499
0.6136 0.7500 0.3501
0.6191 0.7500 0.6515
0.6494 0.2500 0.1631
0.7243 0.7500 0.0012
0.8170 0.2500 0.8362
0.9722 0.7500 0.5896
0.0017 0.7500 0.8693
0.0861 0.2500 0.7150
0.2775 0.7500 0.4741
0.7225 0.2500 0.5259
0.9139 0.7500 0.2850
0.9983 0.2500 0.1307
0.4606 0.7500 0.0955
0.5394 0.2500 0.9045
```

Its electronic total energy is -4.16 eV/atom.


(2)
Computed, not measured: a relaxed Tb4Hg3Ru crystal at the PBE level of DFT.

The structure in POSCAR format:
```
Tb4Hg3Ru
1.0
3.5725 0.0000 0.0000
0.0000 3.5725 0.0000
0.0000 0.0000 15.3614
Tb Hg Ru
4 3 1
direct
0.0000 0.0000 0.1062
0.0000 0.0000 0.3712
0.0000 0.0000 0.6288
0.0000 0.0000 0.8938
0.5000 0.5000 0.2439
0.5000 0.5000 0.5000
0.5000 0.5000 0.7561
0.5000 0.5000 0.0000
```

Its electronic total energy is -4.05 eV/atom.


(3)
Computed, not measured: a relaxed Tb2Hg2Ru crystal at the PBE level of DFT.

The structure in POSCAR format:
```
Tb2Hg2Ru
1.0
3.4620 0.0000 0.0000
0.0000 3.4620 0.0000
0.0000 0.0000 19.3388
Tb Hg Ru
4 4 2
direct
0.0000 0.0000 0.0863
0.0000 0.0000 0.9137
0.5000 0.5000 0.4137
0.5000 0.5000 0.5863
0.0000 0.0000 0.3012
0.0000 0.0000 0.6988
0.5000 0.5000 0.1988
0.5000 0.5000 0.8012
0.0000 0.0000 0.5000
0.5000 0.5000 0.0000
```

Its electronic total energy is -4.22 eV/atom.